Entry 1:
Computed, not measured: a relaxed structure of Ta2Zn3Cu at the GGA-PBE level of DFT.

abc: 5.0434 5.0434 8.0139
angles: 90.00 90.00 120.00
With the nearest neighbours (Å) after each atom.
Fractional coordinates of all 12 atoms:
1 Cu 0.0000 0.0000 0.5000  6 Zn 2.50
2 Cu 0.0000 0.0000 0.0000  6 Zn 2.50
3 Zn 0.1705 0.3409 0.2500  4 Zn 2.46-2.58, 2 Cu 2.50
4 Zn 0.6591 0.8295 0.2500  4 Zn 2.46-2.58, 2 Cu 2.50
5 Zn 0.3409 0.1705 0.7500  4 Zn 2.46-2.58, 2 Cu 2.50
6 Zn 0.8295 0.1705 0.7500  4 Zn 2.46-2.58, 2 Cu 2.50
7 Zn 0.8295 0.6591 0.7500  4 Zn 2.46-2.58, 2 Cu 2.50
8 Zn 0.1705 0.8295 0.2500  4 Zn 2.46-2.58, 2 Cu 2.50
9 Ta 0.6667 0.3333 0.4337  9 Zn 2.91-2.92, 4 Ta 2.94-3.10, 3 Cu 2.96
10 Ta 0.6667 0.3333 0.0663  9 Zn 2.91-2.92, 4 Ta 2.94-3.10, 3 Cu 2.96
11 Ta 0.3333 0.6667 0.9337  9 Zn 2.91-2.92, 4 Ta 2.94-3.10, 3 Cu 2.96
12 Ta 0.3333 0.6667 0.5663  9 Zn 2.91-2.92, 4 Ta 2.94-3.10, 3 Cu 2.96

Properties
- energy of formation from the pure elements (eV per atom) = -0.037
- space-group type = P6_3/mmc, No. 194

Entry 2:
Computed, not measured: a relaxed structure of CaMnInTc2 at the GGA-PBE level of DFT.

abc: 4.4711 5.0745 4.4711
angles: 90.00 90.00 90.00
With the nearest neighbours (Å) after each atom.
Fractional coordinates of all 5 atoms:
1 Tc 0.0000 0.0000 0.5000  2 Mn 2.24
2 Tc 0.5000 0.0000 0.0000  2 Mn 2.24
3 Ca 0.0000 0.5000 0.0000  2 Mn 2.54
4 Mn 0.0000 0.0000 0.0000  4 Tc 2.24
5 In 0.5000 0.5000 0.5000  4 Ca 3.16, 8 Tc 3.38

Properties
- energy of formation from the pure elements (eV per atom) = 0.843
- space-group type = P4/mmm, No. 123

Entry 3:
Computed, not measured: a relaxed structure of SrEuDy2 at the GGA-PBE level of DFT.

abc: 3.6593 3.6593 13.2403
angles: 82.06 82.06 60.00
With the nearest neighbours (Å) after each atom.
Fractional coordinates of all 4 atoms:
1 Dy 0.9099 0.9099 0.2704  1 Sr 3.53, 6 Dy 3.66, 3 Eu 3.67
2 Dy 0.0901 0.0901 0.7296  1 Sr 3.53, 6 Dy 3.66, 3 Eu 3.67
3 Sr 0.0000 0.0000 0.0000  2 Dy 3.53, 6 Sr 3.66
4 Eu 0.5000 0.5000 0.5000  6 Eu 3.66, 6 Dy 3.67

Properties
- energy of formation from the pure elements (eV per atom) = 0.290
- space-group type = R-3m, No. 166

Entry 4:
Computed, not measured: a relaxed structure of Dy3Au2 at the GGA-PBE level of DFT.

abc: 3.7927 8.1722 8.1722
angles: 90.00 90.00 90.00
With the nearest neighbours (Å) after each atom.
Fractional coordinates of all 10 atoms:
1 Dy 0.5000 0.8374 0.3374  6 Au 3.03-3.08
2 Dy 0.5000 0.1626 0.6626  6 Au 3.03-3.08
3 Dy 0.0000 0.0000 0.0000  4 Au 3.19
4 Dy 0.5000 0.3374 0.1626  6 Au 3.03-3.08
5 Dy 0.5000 0.6626 0.8374  6 Au 3.03-3.08
6 Dy 0.0000 0.5000 0.5000  4 Au 3.19
7 Au 0.0000 0.6329 0.1329  8 Dy 3.03-3.19, 1 Au 3.07
8 Au 0.0000 0.3671 0.8671  8 Dy 3.03-3.19, 1 Au 3.07
9 Au 0.0000 0.1329 0.3671  8 Dy 3.03-3.19, 1 Au 3.07
10 Au 0.0000 0.8671 0.6329  8 Dy 3.03-3.19, 1 Au 3.07

Properties
- energy of formation from the pure elements (eV per atom) = -0.703
- space-group type = P4/mbm, No. 127
- distance to the lowest polymorph of the same formula (meV per atom) = 0.0

Entry 5:
Computed, not measured: a relaxed structure of Sc2FeW2 at the GGA-PBE level of DFT.

abc: 8.2380 8.2380 8.2380
angles: 154.73 154.73 36.03
With the nearest neighbours (Å) after each atom.
Fractional coordinates of all 5 atoms:
1 Sc 0.4032 0.4032 0.0000  4 Fe 2.96, 4 W 3.00, 1 Sc 3.03
2 Sc 0.5968 0.5968 0.0000  4 Fe 2.96, 4 W 3.00, 1 Sc 3.03
3 W 0.2500 0.7500 0.5000  4 W 2.55
4 W 0.7500 0.2500 0.5000  4 W 2.55
5 Fe 0.0000 0.0000 0.0000  8 Sc 2.96

Properties
- energy of formation from the pure elements (eV per atom) = 0.696
- space-group type = I4/mmm, No. 139
- distance to the lowest polymorph of the same formula (meV per atom) = 396.2

Entry 6:
Computed, not measured: a relaxed structure of Fe2BH at the GGA-PBE level of DFT.

abc: 4.9372 4.9372 4.2948
angles: 54.92 54.92 90.00
With the nearest neighbours (Å) after each atom.
Fractional coordinates of all 8 atoms:
1 H 0.2500 0.7500 0.5000  4 Fe 1.72
2 H 0.5000 0.5000 0.0000  4 Fe 1.72
3 B 0.0000 0.0000 0.0000  4 Fe 2.00
4 B 0.7500 0.2500 0.5000  4 Fe 2.00
5 Fe 0.5813 0.1250 0.2500  2 H 1.72
6 Fe 0.8750 0.8313 0.7500  2 H 1.72
7 Fe 0.3750 0.4187 0.7500  2 H 1.72
8 Fe 0.1687 0.6250 0.2500  2 H 1.72

Properties
- space-group type = I-42d, No. 122
- distance to the lowest polymorph of the same formula (meV per atom) = 0.0

Which density belongs to each record? In order, 11.70; 6.64; 6.19; 11.56; 8.38; 6.73 g cm⁻³.